(1)
First-principles (PBE with a Hubbard U) data for a geometry-optimized Zn3Co2O7 structure, as listed in Alexandria via LeMat-Bulk.

Cell: 9.3305 9.3305 5.1082 Å, 90.00 90.00 31.55°
Last column: nearest neighbours and their distance in Å.
Sites, in units of the cell vectors:
Zn (0.0464, 0.5600, 0.3954)  4 O 2.01-2.05
Zn (0.2463, 0.7537, 0.5000)  4 O 2.02-2.08
Zn (0.4400, 0.9536, 0.3954)  4 O 2.01-2.05
Zn (0.5600, 0.0464, 0.8954)  4 O 2.01-2.05
Zn (0.7537, 0.2463, 0.0000)  4 O 2.02-2.08
Zn (0.9536, 0.4400, 0.8954)  4 O 2.01-2.05
Co (0.1470, 0.6501, 0.9542)  6 O 1.89-1.97
Co (0.3499, 0.8530, 0.9542)  6 O 1.89-1.97
Co (0.6501, 0.1470, 0.4542)  6 O 1.89-1.97
Co (0.8530, 0.3499, 0.4542)  6 O 1.89-1.97
O (0.0087, 0.1420, 0.7647)  2 Co 1.89-1.93, 1 Zn 2.03
O (0.0654, 0.3371, 0.5085)  1 Co 1.90, 3 Zn 2.01-2.05
O (0.1420, 0.0087, 0.2647)  2 Co 1.89-1.93, 1 Zn 2.03
O (0.3074, 0.4262, 0.6564)  2 Co 1.89-1.97, 1 Zn 2.02
O (0.3371, 0.0654, 0.0085)  1 Co 1.90, 3 Zn 2.01-2.05
O (0.3719, 0.6281, 0.8881)  2 Co 1.96, 2 Zn 2.02-2.08
O (0.4262, 0.3074, 0.1564)  2 Co 1.89-1.97, 1 Zn 2.02
O (0.5738, 0.6926, 0.6564)  2 Co 1.89-1.97, 1 Zn 2.02
O (0.6281, 0.3719, 0.3881)  2 Co 1.96, 2 Zn 2.02-2.08
O (0.6629, 0.9346, 0.5085)  1 Co 1.90, 3 Zn 2.01-2.05
O (0.6926, 0.5738, 0.1564)  2 Co 1.89-1.97, 1 Zn 2.02
O (0.8580, 0.9913, 0.7647)  2 Co 1.89-1.93, 1 Zn 2.03
O (0.9346, 0.6629, 0.0085)  1 Co 1.90, 3 Zn 2.01-2.05
O (0.9913, 0.8580, 0.2647)  2 Co 1.89-1.93, 1 Zn 2.03

Values from the calculation:
Crystal system = orthorhombic
VASP energy = -5.022 eV/atom

=====

(2)
First-principles (PBE with a Hubbard U) data for a geometry-optimized Zn6CoO6 structure, as listed in Alexandria via LeMat-Bulk.

Cell: 5.7000 5.7000 5.7000 Å, 90.00 90.00 90.00°
Last column: nearest neighbours and their distance in Å.
Sites, in units of the cell vectors:
Zn (0.0000, 0.2495, 0.5000)  4 O 2.01-2.02
Zn (0.0000, 0.7505, 0.5000)  4 O 2.01-2.02
Zn (0.2495, 0.5000, 0.0000)  4 O 2.01-2.02
Zn (0.5000, 0.0000, 0.2495)  4 O 2.01-2.02
Zn (0.5000, 0.0000, 0.7505)  4 O 2.01-2.02
Zn (0.7505, 0.5000, 0.0000)  4 O 2.01-2.02
Co (0.0000, 0.0000, 0.0000)  12 Zn 3.19, 12 O 3.19
O (0.0000, 0.5000, 0.2512)  4 Zn 2.01-2.02
O (0.0000, 0.5000, 0.7488)  4 Zn 2.01-2.02
O (0.2512, 0.0000, 0.5000)  4 Zn 2.01-2.02
O (0.5000, 0.2512, 0.0000)  4 Zn 2.01-2.02
O (0.5000, 0.7488, 0.0000)  4 Zn 2.01-2.02
O (0.7488, 0.0000, 0.5000)  4 Zn 2.01-2.02

Values from the calculation:
Crystal system = cubic
VASP energy = -4.290 eV/atom

=====

(3)
First-principles (PBE with a Hubbard U) data for a geometry-optimized ZnCo2O4 structure, as listed in Alexandria via LeMat-Bulk.

Cell: 5.9650 5.9650 5.9650 Å, 60.00 60.00 60.00°
Last column: nearest neighbours and their distance in Å.
Sites, in units of the cell vectors:
Zn (0.1250, 0.1250, 0.1250)  4 O 1.97
Zn (0.8750, 0.8750, 0.8750)  4 O 1.97
Co (0.0000, 0.5000, 0.5000)  6 O 2.03
Co (0.5000, 0.0000, 0.5000)  6 O 2.03
Co (0.5000, 0.5000, 0.0000)  6 O 2.03
Co (0.5000, 0.5000, 0.5000)  6 O 2.03
O (0.2598, 0.2598, 0.2598)  1 Zn 1.97, 3 Co 2.03
O (0.2598, 0.2598, 0.7206)  1 Zn 1.97, 3 Co 2.03
O (0.2598, 0.7206, 0.2598)  1 Zn 1.97, 3 Co 2.03
O (0.2794, 0.7402, 0.7402)  1 Zn 1.97, 3 Co 2.03
O (0.7206, 0.2598, 0.2598)  1 Zn 1.97, 3 Co 2.03
O (0.7402, 0.2794, 0.7402)  1 Zn 1.97, 3 Co 2.03
O (0.7402, 0.7402, 0.2794)  1 Zn 1.97, 3 Co 2.03
O (0.7402, 0.7402, 0.7402)  1 Zn 1.97, 3 Co 2.03

Values from the calculation:
Crystal system = cubic
Polymorph energy (0 for the lowest one) = 0.041 eV per atom

=====

(4)
First-principles (PBE with a Hubbard U) data for a geometry-optimized ZnCo5O7 structure, as listed in Alexandria via LeMat-Bulk.

Cell: 5.0793 5.0793 17.2824 Å, 90.00 90.00 146.68°
Last column: nearest neighbours and their distance in Å.
Sites, in units of the cell vectors:
Zn (0.1981, 0.8019, 0.7500)  2 O 2.06
Zn (0.8019, 0.1981, 0.2500)  2 O 2.06
Co (0.0000, 0.0000, 0.0000)  6 O 2.10
Co (0.0000, 0.0000, 0.5000)  6 O 2.10
Co (0.2794, 0.7206, 0.0770)  6 O 1.98-2.22
Co (0.2794, 0.7206, 0.4230)  6 O 1.98-2.22
Co (0.4538, 0.5462, 0.6519)  6 O 1.93-2.09
Co (0.4538, 0.5462, 0.8481)  6 O 1.93-2.09
Co (0.5462, 0.4538, 0.1519)  6 O 1.93-2.09
Co (0.5462, 0.4538, 0.3481)  6 O 1.93-2.09
Co (0.7206, 0.2794, 0.5770)  6 O 1.98-2.22
Co (0.7206, 0.2794, 0.9230)  6 O 1.98-2.22
O (0.0758, 0.9242, 0.6138)  5 Co 1.99-2.12
O (0.0758, 0.9242, 0.8862)  5 Co 1.99-2.12
O (0.1722, 0.8278, 0.1744)  3 Co 1.94-1.98
O (0.1722, 0.8278, 0.3256)  3 Co 1.94-1.98
O (0.3642, 0.6358, 0.5420)  6 Co 2.09-2.22
O (0.3642, 0.6358, 0.9580)  6 Co 2.09-2.22
O (0.4514, 0.5486, 0.2500)  2 Co 1.93, 2 Zn 2.06
O (0.5486, 0.4514, 0.7500)  2 Co 1.93, 2 Zn 2.06
O (0.6358, 0.3642, 0.0420)  6 Co 2.09-2.22
O (0.6358, 0.3642, 0.4580)  6 Co 2.09-2.22
O (0.8278, 0.1722, 0.6744)  3 Co 1.94-1.98
O (0.8278, 0.1722, 0.8256)  3 Co 1.94-1.98
O (0.9242, 0.0758, 0.1138)  5 Co 1.99-2.12
O (0.9242, 0.0758, 0.3862)  5 Co 1.99-2.12

Values from the calculation:
Crystal system = orthorhombic
VASP energy = -5.657 eV/atom

=====

(5)
First-principles (PBE with a Hubbard U) data for a geometry-optimized ZnCo3O structure, as listed in Alexandria via LeMat-Bulk.

Cell: 4.3994 4.3994 4.3994 Å, 90.00 90.00 90.00°
Last column: nearest neighbours and their distance in Å.
Sites, in units of the cell vectors:
Zn (0.0000, 0.0000, 0.0000)  6 Co 2.20
Co (0.0000, 0.0000, 0.5000)  2 Zn 2.20
Co (0.0000, 0.5000, 0.0000)  2 Zn 2.20
Co (0.5000, 0.0000, 0.0000)  2 Zn 2.20
O (0.5000, 0.5000, 0.5000)  12 Co 3.11

Values from the calculation:
Crystal system = cubic
Polymorph energy (0 for the lowest one) = 1.552 eV per atom

=====

(6)
First-principles (PBE with a Hubbard U) data for a geometry-optimized ZnCo2O4 structure, as listed in Alexandria via LeMat-Bulk.

Cell: 5.9600 10.2541 4.9789 Å, 90.00 90.00 90.00°
Last column: nearest neighbours and their distance in Å.
Sites, in units of the cell vectors:
Zn (0.2500, 0.2500, 0.0187)  6 O 2.08-2.23
Zn (0.2500, 0.7500, 0.6392)  6 O 2.14-2.20
Zn (0.7500, 0.2500, 0.3608)  6 O 2.14-2.20
Zn (0.7500, 0.7500, 0.9813)  6 O 2.08-2.23
Co (0.0000, 0.0000, 0.5000)  4 O 1.92-1.93
Co (0.0000, 0.5000, 0.5000)  4 O 1.92-1.93
Co (0.2500, 0.5146, 0.9971)  4 O 1.85-2.02
Co (0.2500, 0.9854, 0.9971)  4 O 1.85-2.02
Co (0.5000, 0.0000, 0.5000)  4 O 1.92-1.93
Co (0.5000, 0.5000, 0.5000)  4 O 1.92-1.93
Co (0.7500, 0.0146, 0.0029)  4 O 1.85-2.02
Co (0.7500, 0.4854, 0.0029)  4 O 1.85-2.02
O (0.0029, 0.6139, 0.8088)  2 Co 1.93-2.02
O (0.0029, 0.8861, 0.8088)  2 Co 1.93-2.02
O (0.2500, 0.1065, 0.7227)  1 Co 1.85
O (0.2500, 0.3935, 0.7227)  1 Co 1.85
O (0.2500, 0.5941, 0.3522)  3 Co 1.92-1.95, 1 Zn 2.14
O (0.2500, 0.9059, 0.3522)  3 Co 1.92-1.95, 1 Zn 2.14
O (0.4971, 0.6139, 0.8088)  2 Co 1.93-2.02
O (0.4971, 0.8861, 0.8088)  2 Co 1.93-2.02
O (0.5029, 0.1139, 0.1912)  2 Co 1.93-2.02
O (0.5029, 0.3861, 0.1912)  2 Co 1.93-2.02
O (0.7500, 0.0941, 0.6478)  3 Co 1.92-1.95, 1 Zn 2.14
O (0.7500, 0.4059, 0.6478)  3 Co 1.92-1.95, 1 Zn 2.14
O (0.7500, 0.6065, 0.2773)  1 Co 1.85
O (0.7500, 0.8935, 0.2773)  1 Co 1.85
O (0.9971, 0.1139, 0.1912)  2 Co 1.93-2.02
O (0.9971, 0.3861, 0.1912)  2 Co 1.93-2.02

Values from the calculation:
Crystal system = orthorhombic
Polymorph energy (0 for the lowest one) = 0.150 eV per atom

=====

(7)
First-principles (PBE with a Hubbard U) data for a geometry-optimized Zn2Co3O8 structure, as listed in Alexandria via LeMat-Bulk.

Cell: 5.7149 5.7149 9.3492 Å, 90.00 90.00 120.00°
Last column: nearest neighbours and their distance in Å.
Sites, in units of the cell vectors:
Zn (0.3333, 0.6667, 0.0000)  6 O 2.06-2.16
Zn (0.3333, 0.6667, 0.3958)  4 O 1.94-1.99
Zn (0.6667, 0.3333, 0.5000)  6 O 2.06-2.16
Zn (0.6667, 0.3333, 0.8958)  4 O 1.94-1.99
Co (0.1639, 0.3279, 0.7147)  6 O 1.83-1.95
Co (0.1639, 0.8361, 0.7147)  6 O 1.83-1.95
Co (0.3279, 0.1639, 0.2147)  6 O 1.83-1.95
Co (0.6721, 0.8361, 0.7147)  6 O 1.83-1.95
Co (0.8361, 0.1639, 0.2147)  6 O 1.83-1.95
Co (0.8361, 0.6721, 0.2147)  6 O 1.83-1.95
O (0.0000, 0.0000, 0.3200)  3 Co 1.90
O (0.0000, 0.0000, 0.8200)  3 Co 1.90
O (0.0381, 0.5190, 0.8299)  2 Co 1.91, 1 Zn 1.94
O (0.1566, 0.3131, 0.1166)  2 Co 1.83
O (0.1566, 0.8434, 0.1166)  2 Co 1.83
O (0.3131, 0.1566, 0.6166)  2 Co 1.83
O (0.3333, 0.6667, 0.6082)  3 Co 1.95, 1 Zn 1.99
O (0.4810, 0.5190, 0.8299)  2 Co 1.91, 1 Zn 1.94
O (0.4810, 0.9619, 0.8299)  2 Co 1.91, 1 Zn 1.94
O (0.5190, 0.0381, 0.3299)  2 Co 1.91, 1 Zn 1.94
O (0.5190, 0.4810, 0.3299)  2 Co 1.91, 1 Zn 1.94
O (0.6667, 0.3333, 0.1082)  3 Co 1.95, 1 Zn 1.99
O (0.6869, 0.8434, 0.1166)  2 Co 1.83
O (0.8434, 0.1566, 0.6166)  2 Co 1.83
O (0.8434, 0.6869, 0.6166)  2 Co 1.83
O (0.9619, 0.4810, 0.3299)  2 Co 1.91, 1 Zn 1.94

Values from the calculation:
Crystal system = hexagonal
Polymorph energy (0 for the lowest one) = 0.000 eV per atom

=====

(8)
First-principles (PBE with a Hubbard U) data for a geometry-optimized ZnCo2O4 structure, as listed in Alexandria via LeMat-Bulk.

Cell: 8.7763 2.8232 10.0745 Å, 90.00 90.00 90.00°
Last column: nearest neighbours and their distance in Å.
Sites, in units of the cell vectors:
Zn (0.2385, 0.2500, 0.1644)  7 O 2.13-2.28
Zn (0.2615, 0.7500, 0.6644)  7 O 2.13-2.28
Zn (0.7385, 0.2500, 0.3356)  7 O 2.13-2.28
Zn (0.7615, 0.7500, 0.8356)  7 O 2.13-2.28
Co (0.0490, 0.2500, 0.3835)  6 O 1.89-1.95
Co (0.0947, 0.2500, 0.9039)  6 O 1.88-2.00
Co (0.4053, 0.7500, 0.4039)  6 O 1.88-2.00
Co (0.4510, 0.7500, 0.8835)  6 O 1.89-1.95
Co (0.5490, 0.2500, 0.1165)  6 O 1.89-1.95
Co (0.5947, 0.2500, 0.5961)  6 O 1.88-2.00
Co (0.9053, 0.7500, 0.0961)  6 O 1.88-2.00
Co (0.9510, 0.7500, 0.6165)  6 O 1.89-1.95
O (0.0609, 0.7500, 0.7840)  3 Co 1.88-1.94
O (0.0905, 0.2500, 0.5679)  3 Co 1.89-1.93
O (0.1133, 0.7500, 0.0407)  3 Co 1.91-1.98
O (0.1915, 0.7500, 0.3358)  3 Co 1.95-2.00
O (0.3085, 0.2500, 0.8358)  3 Co 1.95-2.00
O (0.3867, 0.2500, 0.5407)  3 Co 1.91-1.98
O (0.4095, 0.7500, 0.0679)  3 Co 1.89-1.93
O (0.4391, 0.2500, 0.2840)  3 Co 1.88-1.94
O (0.5609, 0.7500, 0.7160)  3 Co 1.88-1.94
O (0.5905, 0.2500, 0.9321)  3 Co 1.89-1.93
O (0.6133, 0.7500, 0.4593)  3 Co 1.91-1.98
O (0.6915, 0.7500, 0.1642)  3 Co 1.95-2.00
O (0.8085, 0.2500, 0.6642)  3 Co 1.95-2.00
O (0.8867, 0.2500, 0.9593)  3 Co 1.91-1.98
O (0.9095, 0.7500, 0.4321)  3 Co 1.89-1.93
O (0.9391, 0.2500, 0.2160)  3 Co 1.88-1.94

Values from the calculation:
Crystal system = orthorhombic
Polymorph energy (0 for the lowest one) = 0.079 eV per atom

=====

The magnetic moment results, record by record, are as follows: 4.14; 2.31; 15.89; 17.99; 6.54; 24.00; 6.16; 0.00 μB per cell.